# Cs2U3S9

A relaxed Cs2U3S9 crystal (GGA-PBE, Alexandria).

Cell and atoms, written as CIF:
```
data_Cs2U3S9
_chemical_formula_sum 'Cs4 U6 S18'
_cell_length_a 11.979
_cell_length_b 11.979
_cell_length_c 11.795
_cell_angle_alpha 76.28
_cell_angle_beta 115.39
_cell_angle_gamma 144.23
_space_group_name_H-M_alt 'P 1'
_space_group_IT_number 1
loop_
_space_group_symop_operation_xyz
'x,y,z'
loop_
_atom_site_label
_atom_site_type_symbol
_atom_site_fract_x
_atom_site_fract_y
_atom_site_fract_z
Cs1 Cs 0.168 0.080 0.740
Cs2 Cs 0.832 0.920 0.260
Cs3 Cs 0.840 0.428 0.760
Cs4 Cs 0.160 0.572 0.240
U1 U 0.500 0.000 0.000
U2 U 0.500 0.500 0.500
U3 U 0.820 0.141 0.503
U4 U 0.180 0.859 0.497
U5 U 0.138 0.317 0.997
U6 U 0.862 0.683 0.003
S1 S 0.329 0.915 0.746
S2 S 0.671 0.085 0.254
S3 S 0.669 0.583 0.754
S4 S 0.331 0.417 0.246
S5 S 0.345 0.670 0.000
S6 S 0.655 0.330 0.000
S7 S 0.170 0.345 0.500
S8 S 0.830 0.655 0.500
S9 S 0.034 0.284 0.750
S10 S 0.966 0.716 0.250
S11 S 0.149 0.081 0.027
S12 S 0.851 0.919 0.973
S13 S 0.554 0.122 0.473
S14 S 0.446 0.878 0.527
S15 S 0.682 0.834 0.503
S16 S 0.318 0.166 0.497
S17 S 0.830 0.178 0.997
S18 S 0.170 0.822 0.003
```

Summary:
Calculated total energy (eV/cell): -176.6
E_form (uncorrected) (kJ/mol of atoms): -107.4